Material: Cr2MoOsO
Method: DFT, GGA+U
State: optimized geometry

As for the symmetry: P4/mmm, No. 123. The electronic total energy comes out at -5.964 eV/atom. The total magnetization comes out at 11.59 μB/f.u.

Cell: 4.8353 4.9729 4.8353 Å, 90.00 90.00 90.00°
Closest atoms and distances in Å follow each position.
Atoms (fractional coordinates):
Cr1 0.5000 0.0000 0.0000  2 Os 2.42
Cr2 0.0000 0.0000 0.5000  2 Os 2.42
Os1 0.0000 0.0000 0.0000  4 Cr 2.42, 2 Mo 2.49
O1 0.5000 0.5000 0.5000  4 Mo 3.42, 8 Cr 3.47
Mo1 0.0000 0.5000 0.0000  2 Os 2.49